The following is a GGA-PBE calculation of crystalline CuBiW4C2 at its relaxed geometry, from OQMD via LeMat-Bulk.

Output
Space group   P-6m2, No. 187
V   14.8 A^3/atom
Total DFT energy (no corrections)   -9.332 eV/atom

a b c (Å): 3.1364 3.1364 13.8648
angles (deg): 90.00 90.00 120.00
With the nearest neighbours (Å) after each atom.
Positions (direct):
Cu 0.0000 0.0000 0.0000  6 W 2.70
Bi 0.6667 0.3333 0.5000  6 Bi 3.14, 6 W 3.24
W 0.0000 0.0000 0.3063  3 C 2.11
W 0.0000 0.0000 0.6937  3 C 2.11
W 0.6667 0.3333 0.1449  3 C 2.15
W 0.6667 0.3333 0.8551  3 C 2.15
C 0.3333 0.6667 0.2281  6 W 2.11-2.15
C 0.3333 0.6667 0.7719  6 W 2.11-2.15